Record 1
YTaIr: optimized geometry, GGA-PBEsol.

Output
Space-group type: Imma
Formation enthalpy at 0 K: -0.5742 eV per atom
Electronic total energy: -10.306 eV per atom

Cell: 5.4053 5.4053 5.4053 Å, 85.75 63.59 118.76°
Fractional coordinates of all 6 atoms:
Ir  0.0000  0.0000  0.0000
Ir  0.5000  0.0000  0.5000
Y  0.7500  0.6335  0.6165
Y  0.2500  0.3665  0.3835
Ta  0.5000  0.0000  0.0000
Ta  0.0000  0.5000  0.0000



Record 2
CrRu2W: optimized geometry, GGA-PBEsol.

Output
Space-group type: C2/m
Formation enthalpy at 0 K: 0.3191 eV per atom
ΔE to the lowest computed polymorph: 13.5 kJ/mol of atoms
Electronic total energy: -10.780 eV per atom

Cell: 2.6414 4.9948 4.9948 Å, 116.75 101.34 101.34°
Fractional coordinates of all 4 atoms:
Ru  0.0000  0.5000  0.0000
Ru  0.0000  0.0000  0.5000
W  0.5000  0.0000  0.0000
Cr  0.5000  0.5000  0.5000



Record 3
KBPt3: optimized geometry, GGA-PBEsol.

Output
Space-group type: P1
Formation enthalpy at 0 K: -0.1786 eV per atom
Electronic total energy: -5.987 eV per atom

Cell: 4.2283 6.2205 7.8836 Å, 102.62 105.22 93.16°
Fractional coordinates of all 10 atoms:
Pt  0.6332  0.5148  0.4498
Pt  0.0381  0.4197  0.2684
Pt  0.2482  0.5985  0.6770
Pt  0.6357  0.9897  0.8218
Pt  0.4179  0.3527  0.0261
Pt  0.8022  0.4091  0.7979
B  0.7909  0.7088  0.7089
B  0.9193  0.2594  0.0110
K  0.0389  0.0471  0.5122
K  0.2846  0.8585  0.1107



Record 4
MnNi6Os: optimized geometry, GGA-PBEsol.

Output
Space-group type: Cmmm
Formation enthalpy at 0 K: 0.0541 eV per atom
Electronic total energy: -7.311 eV per atom

Cell: 6.1357 6.1357 10.0092 Å, 90.00 90.00 109.33°
Each line ends with the local moment (μB).
Fractional coordinates of all 32 atoms:
Ni  0.6257  0.8768  0.3741  0.35
Ni  0.2494  0.7506  0.7493  0.41
Ni  0.3743  0.1232  0.6259  0.35
Ni  0.0000  0.0000  0.5000  0.36
Ni  0.6257  0.8768  0.6259  0.35
Ni  0.3747  0.1246  0.8753  0.46
Ni  0.3747  0.1246  0.1247  0.46
Ni  0.8768  0.6257  0.3741  0.35
Ni  0.6253  0.8754  0.1247  0.46
Ni  0.8768  0.6257  0.6259  0.35
Ni  0.3743  0.1232  0.3741  0.35
Ni  0.0000  0.0000  0.0000  0.35
Ni  0.5000  0.5000  0.0000  0.50
Ni  0.7506  0.2494  0.2507  0.41
Ni  0.1232  0.3743  0.3741  0.35
Ni  0.1232  0.3743  0.6259  0.35
Ni  0.1246  0.3747  0.8753  0.46
Ni  0.6253  0.8754  0.8753  0.46
Ni  0.8754  0.6253  0.8753  0.46
Ni  0.2494  0.7506  0.2507  0.41
Ni  0.5000  0.5000  0.5000  0.44
Ni  0.1246  0.3747  0.1247  0.46
Ni  0.7506  0.2494  0.7493  0.41
Ni  0.8754  0.6253  0.1247  0.46
Mn  0.5000  0.5000  0.7531  3.40
Mn  0.7488  0.2512  0.0000  3.35
Mn  0.2512  0.7488  0.0000  3.35
Mn  0.5000  0.5000  0.2469  3.40
Os  0.0000  0.0000  0.2461  0.65
Os  0.2531  0.7469  0.5000  0.71
Os  0.7469  0.2531  0.5000  0.71
Os  0.0000  0.0000  0.7539  0.65



Record 5
NiAs: optimized geometry, GGA-PBEsol.

Output
Space-group type: P6_3/mmc
Formation enthalpy at 0 K: -0.3302 eV per atom
Electronic total energy: -5.962 eV per atom

Cell: 3.6006 3.6006 4.9392 Å, 90.00 90.00 120.00°
Fractional coordinates of all 4 atoms:
Ni  0.0000  0.0000  0.5000
Ni  0.0000  0.0000  0.0000
As  0.6667  0.3333  0.7500
As  0.3333  0.6667  0.2500



Record 6
HoFe5: optimized geometry, GGA-PBEsol.

Output
Space-group type: P6/mmm
Formation enthalpy at 0 K: -0.0391 eV per atom
Electronic total energy: -8.334 eV per atom

Cell: 3.8845 4.8599 4.8599 Å, 120.00 90.00 90.00°
Each line ends with the local moment (μB).
Fractional coordinates of all 6 atoms:
Fe  0.5000  0.0000  0.5000  1.76
Fe  0.0000  0.3333  0.6667  1.96
Fe  0.5000  0.5000  0.0000  1.76
Fe  0.0000  0.6667  0.3333  1.96
Fe  0.5000  0.5000  0.5000  1.76
Ho  0.0000  0.0000  0.0000  -0.33



Record 7
CrNi: optimized geometry, GGA-PBEsol.

Output
Space-group type: C2/m
Formation enthalpy at 0 K: 0.0638 eV per atom
Electronic total energy: -8.136 eV per atom

Cell: 2.4106 4.4015 4.7234 Å, 117.34 104.78 90.00°
Fractional coordinates of all 4 atoms:
Ni  0.8763  0.5403  0.7527
Ni  0.1237  0.4597  0.2473
Cr  0.6227  0.9659  0.2454
Cr  0.3773  0.0341  0.7546



Record 8
ErIn2Sn: optimized geometry, GGA-PBEsol.

Output
Space-group type: P4/mmm
Formation enthalpy at 0 K: -0.4565 eV per atom
Electronic total energy: -4.245 eV per atom

Cell: 4.4380 4.4380 4.8136 Å, 90.00 90.00 90.00°
Fractional coordinates of all 4 atoms:
In  0.5000  0.0000  0.5000
In  0.0000  0.5000  0.5000
Sn  0.5000  0.5000  0.0000
Er  0.0000  0.0000  0.0000